# 1
A plane-wave DFT calculation with PBE was carried out for a geometry-optimized EuYHg structure.

Its volume is 31.178 Å³/atom. The total energy is -5.9854 eV per atom. Its space group is I4mm, No. 107. The total moment is 15.33 μB/cell. The value obtained for the excess energy over the best structure of this formula in the dataset is 0.0000 eV/atom.

Cell and atoms, written as extended XYZ:
```
6
Lattice="3.7877 0.0000 0.0000 0.0000 3.7877 0.0000 0.0000 0.0000 13.0393" Properties=species:S:1:pos:R:3 pbc="T T T"
Eu 0.0000 0.0000 0.0000
Eu 1.8938 1.8938 6.5197
Y 0.0000 0.0000 3.7408
Y 1.8938 1.8938 10.2604
Hg 0.0000 0.0000 8.6218
Hg 1.8938 1.8938 2.1021
```



# 2
A plane-wave DFT calculation with PBE was carried out for a geometry-optimized PaTi2GaO8 structure.

Its volume is 12.002 Å³/atom. The total energy is -8.5292 eV per atom. Its space group is C2/m, No. 12. The total moment is 0.00 μB/cell.

Cell and atoms, written as extended XYZ:
```
12
Lattice="3.4339 -3.3218 0.0000 3.4339 3.3218 0.0000 -0.0153 0.0000 6.3130" Properties=species:S:1:pos:R:3 pbc="T T T"
Pa 0.0000 0.0000 0.0000
Ti 3.2562 0.0000 1.7072
Ti 3.5964 0.0000 4.6058
Ga -0.0076 0.0000 3.1565
O 3.4169 1.9704 4.6085
O 3.4357 1.9704 1.7045
O 2.1230 0.0000 3.1499
O 2.1811 0.0000 0.0971
O 4.6715 0.0000 6.2160
O 4.7297 0.0000 3.1631
O 3.4169 -1.9704 4.6085
O 3.4357 -1.9704 1.7045
```



# 3
A plane-wave DFT calculation with PBE was carried out for a geometry-optimized AcDyErTh structure.

Its volume is 34.427 Å³/atom. The total energy is -5.0358 eV per atom. Its space group is F-43m, No. 216. The total moment is 0.00 μB/cell.

Cell and atoms, written as extended XYZ:
```
16
Lattice="8.1974 0.0000 0.0000 0.0000 8.1974 0.0000 0.0000 0.0000 8.1974" Properties=species:S:1:pos:R:3 pbc="T T T"
Ac 0.0000 0.0000 0.0000
Ac 0.0000 4.0987 4.0987
Ac 4.0987 0.0000 4.0987
Ac 4.0987 4.0987 0.0000
Dy 2.0493 2.0493 2.0493
Dy 2.0493 6.1480 6.1480
Dy 6.1480 2.0493 6.1480
Dy 6.1480 6.1480 2.0493
Er 2.0493 2.0493 6.1480
Er 2.0493 6.1480 2.0493
Er 6.1480 2.0493 2.0493
Er 6.1480 6.1480 6.1480
Th 0.0000 0.0000 4.0987
Th 0.0000 4.0987 0.0000
Th 4.0987 0.0000 0.0000
Th 4.0987 4.0987 4.0987
```